Material: Ca2Cu4As3P
Method: DFT, PBE-GGA
State: optimized geometry

Results
Space group: P-4m2, No. 115
ΔH_f (0 K): -48.2 kJ per mole of atoms

Structure (CIF):
```
data_Ca2Cu4As3P
_symmetry_space_group_name_H-M 'P 1'
_symmetry_Int_Tables_number 1
_symmetry_space_group_name_Hall 'P 1'
_cell_length_a 4.184
_cell_length_b 4.184
_cell_length_c 10.060
_cell_angle_alpha 90.00
_cell_angle_beta 90.00
_cell_angle_gamma 90.00
loop_
_atom_site_label
_atom_site_fract_x
_atom_site_fract_y
_atom_site_fract_z
Ca1 0.000 0.500 0.249
Ca2 0.500 0.000 0.751
Cu1 0.000 0.000 0.000
Cu2 0.000 0.500 0.625
Cu3 0.500 0.000 0.375
Cu4 0.500 0.500 0.000
As1 0.000 0.500 0.863
As2 0.500 0.000 0.137
As3 0.500 0.500 0.500
P1 0.000 0.000 0.500
```